Record 1
This record from Alexandria via LeMat-Bulk describes a relaxed PmAl3Ga crystal. The functional is PBE.

Values from the calculation:
Fermi-level density of states = 1.8 states/eV/f.u.
E = -41.71 eV per cell
energy of formation = -0.370 eV per atom

Geometry as POSCAR:
```
PmAl3Ga
1.0
5.984 0.000 0.000
0.000 5.981 0.000
-2.968 0.000 5.627
Pm Al Ga
2 6 2
Direct
0.000 0.000 0.000
0.500 0.500 0.000
0.002 0.250 0.504
0.002 0.750 0.504
0.112 0.500 0.224
0.502 0.250 0.504
0.502 0.750 0.504
0.612 0.000 0.224
0.390 0.000 0.781
0.890 0.500 0.781
```

Record 2
This record from Alexandria via LeMat-Bulk describes a relaxed InTc2Os crystal. The functional is PBE.

Values from the calculation:
Fermi-level density of states = 3.8 states/eV/f.u.
E = -65.13 eV per cell
energy of formation = 0.534 eV per atom

Geometry as POSCAR:
```
InTc2Os
1.0
2.944 0.000 0.000
0.000 4.766 0.000
0.000 0.000 9.188
In Tc Os
2 4 2
Direct
0.000 0.000 0.000
0.500 0.500 0.000
0.000 0.000 0.502
0.000 0.500 0.736
0.500 0.000 0.736
0.500 0.500 0.502
0.000 0.500 0.263
0.500 0.000 0.263
```

Record 3
This record from Alexandria via LeMat-Bulk describes a relaxed Ce2Br4N crystal. The functional is PBE.

Values from the calculation:
Fermi-level density of states = 6.0 states/eV/f.u.
E = -75.18 eV per cell
formation energy without anion corrections = -10.71 eV/f.u.

Geometry as POSCAR:
```
Ce2Br4N
1.0
12.373 0.000 0.000
0.000 12.373 0.000
0.000 0.000 3.578
Ce Br N
4 8 2
Direct
0.095 0.095 0.000
0.405 0.595 0.500
0.595 0.405 0.500
0.905 0.905 0.000
0.055 0.274 0.500
0.226 0.555 0.000
0.274 0.055 0.500
0.445 0.774 0.000
0.555 0.226 0.000
0.726 0.945 0.500
0.774 0.445 0.000
0.945 0.726 0.500
0.000 0.000 0.500
0.500 0.500 0.000
```

Record 4
This record from Alexandria via LeMat-Bulk describes a relaxed SmMgZnSi crystal. The functional is PBE.

Values from the calculation:
Fermi-level density of states = 3.0 states/eV/f.u.
E = -56.09 eV per cell
formation energy without anion corrections = -1.01 eV/f.u.

Geometry as POSCAR:
```
SmMgZnSi
1.0
6.906 0.000 0.000
0.000 6.906 0.000
0.000 0.000 6.906
Sm Mg Zn Si
4 4 4 4
Direct
0.000 0.000 0.000
0.000 0.500 0.500
0.500 0.000 0.500
0.500 0.500 0.000
0.000 0.000 0.500
0.000 0.500 0.000
0.500 0.000 0.000
0.500 0.500 0.500
0.250 0.250 0.750
0.250 0.750 0.250
0.750 0.250 0.250
0.750 0.750 0.750
0.250 0.250 0.250
0.250 0.750 0.750
0.750 0.250 0.750
0.750 0.750 0.250
```

Record 5
This record from Alexandria via LeMat-Bulk describes a relaxed CrIn2Pd9 crystal. The functional is PBE.

Values from the calculation:
Fermi-level density of states = 13.2 states/eV/f.u.
E = -65.62 eV per cell
energy of formation = -0.316 eV per atom

Geometry as POSCAR:
```
CrIn2Pd9
1.0
3.989 0.000 0.000
0.000 3.989 0.000
0.000 0.000 12.000
Cr In Pd
1 2 9
Direct
0.000 0.000 0.000
0.000 0.000 0.331
0.000 0.000 0.669
0.000 0.500 0.158
0.000 0.500 0.500
0.000 0.500 0.842
0.500 0.000 0.158
0.500 0.000 0.500
0.500 0.000 0.842
0.500 0.500 0.000
0.500 0.500 0.328
0.500 0.500 0.672
```

Record 6
This record from Alexandria via LeMat-Bulk describes a relaxed KNa2SeCl crystal. The functional is PBE.

Values from the calculation:
Fermi-level density of states = 0.0 states/eV/f.u.
E = -31.52 eV per cell
formation energy without anion corrections = -6.69 eV/f.u.

Geometry as POSCAR:
```
KNa2SeCl
1.0
7.829 0.000 0.000
0.000 4.444 0.000
-0.509 0.000 8.236
K Na Se Cl
2 4 2 2
Direct
0.004 0.250 0.253
0.996 0.750 0.747
0.356 0.750 0.426
0.443 0.750 0.822
0.557 0.250 0.178
0.644 0.250 0.574
0.276 0.250 0.621
0.724 0.750 0.379
0.267 0.750 0.101
0.733 0.250 0.899
```

Record 7
This record from Alexandria via LeMat-Bulk describes a relaxed Y2HfSe5 crystal. The functional is PBE.

Values from the calculation:
E = -106.06 eV per cell
formation energy without anion corrections = -12.72 eV/f.u.

Geometry as POSCAR:
```
Y2HfSe5
1.0
2.743 -6.797 0.000
2.743 6.797 0.000
0.000 0.000 13.279
Y Hf Se
4 2 10
Direct
0.149 0.851 0.560
0.149 0.851 0.940
0.851 0.149 0.060
0.851 0.149 0.440
0.192 0.808 0.250
0.808 0.192 0.750
0.048 0.952 0.123
0.048 0.952 0.377
0.266 0.734 0.750
0.313 0.687 0.085
0.313 0.687 0.415
0.687 0.313 0.585
0.687 0.313 0.915
0.734 0.266 0.250
0.952 0.048 0.623
0.952 0.048 0.877
```

Record 8
This record from Alexandria via LeMat-Bulk describes a relaxed Ni2PPt crystal. The functional is PBE.

Values from the calculation:
Fermi-level density of states = 2.0 states/eV/f.u.
E = -95.92 eV per cell
energy of formation = -0.242 eV per atom

Geometry as POSCAR:
```
Ni2PPt
1.0
6.592 0.000 0.000
0.000 6.592 0.000
0.000 0.000 4.806
Ni P Pt
8 4 4
Direct
0.199 0.250 0.125
0.250 0.699 0.375
0.250 0.801 0.875
0.301 0.250 0.625
0.699 0.750 0.625
0.750 0.199 0.875
0.750 0.301 0.375
0.801 0.750 0.125
0.000 0.000 0.000
0.000 0.500 0.250
0.500 0.000 0.750
0.500 0.500 0.500
0.000 0.000 0.500
0.000 0.500 0.750
0.500 0.000 0.250
0.500 0.500 0.000
```

Record 9
This record from Alexandria via LeMat-Bulk describes a relaxed KTaTe2 crystal. The functional is PBE.

Values from the calculation:
Fermi-level density of states = 3.8 states/eV/f.u.
E = -34.48 eV per cell
formation energy without anion corrections = 1.99 eV/f.u.

Geometry as POSCAR:
```
KTaTe2
1.0
4.422 0.000 0.000
0.000 4.422 0.000
0.000 0.000 11.002
K Ta Te
2 2 4
Direct
0.000 0.000 0.000
0.500 0.500 0.500
0.000 0.500 0.750
0.500 0.000 0.250
0.000 0.000 0.500
0.000 0.500 0.250
0.500 0.000 0.750
0.500 0.500 0.000
```

Record 10
This record from Alexandria via LeMat-Bulk describes a relaxed SiAgSb2 crystal. The functional is PBE.

Values from the calculation:
Fermi-level density of states = 1.6 states/eV/f.u.
E = -63.03 eV per cell
formation energy without anion corrections = 0.76 eV/f.u.

Geometry as POSCAR:
```
SiAgSb2
1.0
6.329 0.000 0.000
0.000 6.329 0.000
0.000 0.000 11.800
Si Ag Sb
4 4 8
Direct
0.000 0.000 0.000
0.000 0.500 0.250
0.500 0.000 0.750
0.500 0.500 0.500
0.000 0.000 0.500
0.000 0.500 0.750
0.500 0.000 0.250
0.500 0.500 0.000
0.236 0.250 0.125
0.250 0.736 0.375
0.250 0.764 0.875
0.264 0.250 0.625
0.736 0.750 0.625
0.750 0.236 0.875
0.750 0.264 0.375
0.764 0.750 0.125
```

Record 11
This record from Alexandria via LeMat-Bulk describes a relaxed Ac8CoNi4 crystal. The functional is PBE.

Values from the calculation:
Fermi-level density of states = 10.1 states/eV/f.u.
E = -64.94 eV per cell
energy of formation = -0.142 eV per atom

Geometry as POSCAR:
```
Ac8CoNi4
1.0
4.274 2.468 6.794
-4.274 2.468 6.794
0.000 -4.935 6.794
Ac Co Ni
8 1 4
Direct
0.238 0.753 0.753
0.243 0.243 0.243
0.247 0.247 0.762
0.247 0.762 0.247
0.753 0.238 0.753
0.753 0.753 0.238
0.757 0.757 0.757
0.762 0.247 0.247
0.000 0.000 0.000
0.000 0.000 0.500
0.000 0.500 0.000
0.500 0.000 0.000
0.500 0.500 0.500
```

Record 12
This record from Alexandria via LeMat-Bulk describes a relaxed TlSbC crystal. The functional is PBE.

Values from the calculation:
Fermi-level density of states = 0.1 states/eV/f.u.
energy above the lowest structure with this stoichiometry = 0 meV per atom
E = -27.75 eV per cell
formation energy without anion corrections = 1.84 eV/f.u.

Geometry as POSCAR:
```
TlSbC
1.0
4.764 0.000 0.000
0.000 4.256 0.000
-0.275 0.000 8.470
Tl Sb C
2 2 2
Direct
0.000 0.000 0.000
0.472 0.000 0.706
0.552 0.500 0.331
0.975 0.000 0.372
0.463 0.500 0.931
0.502 0.500 0.079
```